Material: Li2Y
Method: DFT, PBE
State: relaxed

Calculated values
Its relative energy among the computed polymorphs is 0.00 eV per formula unit. The space-group type is C2/m. The calculated volume comes out at 145 Å³/cell. The calculation puts the magnetization at 0.0 μB per formula unit.

Cell lengths 6.052, 6.052, 7.657 Å; angles 71.35, 71.35, 33.26 degrees
Positions (direct):
Y 0.159 0.159 0.893
Li 0.845 0.845 0.539
Li 0.531 0.531 0.274
Li 0.469 0.469 0.726
Li 0.155 0.155 0.461
Y 0.841 0.841 0.107